The following is a DFT calculation (PBE with a Hubbard U) of a relaxed RuWNF2 crystal.

Summary:
space-group type: P4/mmm
offset from the most stable computed form: 0.0 meV per atom
size of the total moment: 4.9 μB per formula unit

a b c (Å): 4.2090 4.2090 4.0792
angles (deg): 90.00 90.00 90.00
Closest atoms and distances in Å follow each position.
Positions (direct):
N: 0.0000 0.0000 0.5000  2 W 2.04
W: 0.0000 0.0000 0.0000  2 N 2.04, 4 F 2.10
F: 0.0000 0.5000 0.0000  2 W 2.10
F: 0.5000 0.0000 0.0000  2 W 2.10
Ru: 0.5000 0.5000 0.5000  8 F 2.93, 4 N 2.98